A plane-wave DFT calculation with GGA-PBEsol was carried out for a relaxed structure of CoSb2Rh.

Summary:
total moment	0.12	μB/atom
energy above the most stable polymorph in this dataset	0.000	kcal/mol of atoms
raw total energy	-6.264	eV/atom

Cell lengths 3.177, 3.177, 7.309 Å; angles 90.00, 90.00, 90.00 degrees
Atoms (fractional coordinates):
Sb 0.000 0.000 0.921
Sb 0.500 0.500 0.338
Rh 0.500 0.500 0.724
Co 0.000 0.000 0.517